(1)
Density functional theory data (PBE) for a relaxed Er6CS3N2 crystal.

The structure in POSCAR format:
```
Er6CS3N2
1.0
-4.7594 2.9969 2.7413
1.7761 -5.6237 2.0899
4.9593 3.5845 2.3195
S Er N C
3 6 2 1
Direct
0.8336 0.1664 0.5000
0.1664 0.8336 0.5000
0.5000 0.5000 0.5000
0.4036 0.0702 0.2108
0.9298 0.5964 0.7892
0.5964 0.9298 0.7892
0.2635 0.2635 0.7895
0.0702 0.4036 0.2108
0.7365 0.7365 0.2105
0.3334 0.6666 0.0000
0.6666 0.3334 0.0000
0.0000 0.0000 0.0000
```

(2)
Density functional theory data (PBE) for a relaxed Er8CS4N3 crystal.

The structure in POSCAR format:
```
Er8CS4N3
1.0
7.2121 0.0000 0.0000
0.0000 7.4611 0.1704
-3.6060 -3.6021 5.1024
Er S N C
8 4 3 1
Direct
0.2367 0.7109 0.4734
0.2367 0.7109 0.9742
0.7633 0.2891 0.5266
0.7364 0.7092 0.4728
0.7375 0.7109 0.9742
0.2625 0.2891 0.0258
0.7633 0.2891 0.0258
0.2636 0.2908 0.5272
0.5000 0.0000 0.5000
0.0000 0.0000 0.5000
0.5000 0.0000 0.0000
0.0000 0.0000 0.0000
0.5000 0.5000 0.0000
0.0000 0.5000 0.5000
0.5000 0.5000 0.5000
0.0000 0.5000 0.0000
```

(3)
Density functional theory data (PBE) for a relaxed Er6C2S2N crystal.

The structure in POSCAR format:
```
Er6C2S2N
1.0
6.2443 -0.0077 0.0622
-3.0930 5.4245 0.0622
-1.1180 -1.9216 6.1540
C N Er S
2 1 6 2
Direct
0.3312 0.6688 0.5000
0.6688 0.3312 0.5000
0.0000 0.0000 0.5000
0.5968 0.9291 0.2871
0.7389 0.7389 0.7108
0.2611 0.2611 0.2892
0.9291 0.5968 0.2871
0.4032 0.0709 0.7129
0.0709 0.4032 0.7129
0.1670 0.8330 0.0000
0.8330 0.1670 0.0000
```

(4)
Density functional theory data (PBE) for a relaxed Er6C2S3N crystal.

The structure in POSCAR format:
```
Er6C2S3N
1.0
6.3096 0.0008 0.0004
-3.1526 5.4656 0.0004
-1.0526 -1.8226 6.2426
Er S N C
6 3 1 2
Direct
0.9296 0.5964 0.7890
0.2630 0.2630 0.7885
0.0704 0.4036 0.2110
0.7370 0.7370 0.2115
0.5964 0.9296 0.7890
0.4036 0.0704 0.2110
0.1668 0.8332 0.5000
0.8332 0.1668 0.5000
0.5000 0.5000 0.5000
0.0000 0.0000 0.0000
0.6668 0.3332 0.0000
0.3332 0.6668 0.0000
```

(5)
Density functional theory data (PBE) for a relaxed Er8C3S4N crystal.

The structure in POSCAR format:
```
Er8C3S4N
1.0
7.3021 0.0000 -0.0001
0.0000 7.5401 0.1616
-3.6511 -3.6470 5.1668
S Er N C
4 8 1 3
Direct
0.0000 0.0000 0.0000
0.0000 0.0000 0.5000
0.5000 0.0000 0.5000
0.5000 0.0000 0.0000
0.2645 0.2898 0.0271
0.2622 0.2865 0.5243
0.7626 0.2897 0.5252
0.2374 0.7102 0.9729
0.7626 0.2898 0.0271
0.2374 0.7103 0.4748
0.7378 0.7135 0.4757
0.7355 0.7102 0.9729
0.0000 0.5000 0.0000
0.5000 0.5000 0.5000
0.5000 0.5000 0.0000
0.0000 0.5000 0.5000
```

(6)
Density functional theory data (PBE) for a relaxed Er8CS3N3 crystal.

The structure in POSCAR format:
```
Er8CS3N3
1.0
-6.8283 -1.2026 -1.7949
2.0767 -0.6495 6.8237
-0.4051 6.7610 -2.9926
N S Er C
3 3 8 1
Direct
0.0000 0.5000 0.5000
0.5000 0.0000 0.5000
0.5000 0.5000 0.5000
0.5000 0.5000 0.0000
0.0000 0.0000 0.0000
0.0000 0.5000 0.0000
0.7609 0.5218 0.2864
0.7609 0.0255 0.2864
0.7354 0.9745 0.7136
0.2391 0.4782 0.7136
0.2639 0.5277 0.2916
0.2646 0.0255 0.2864
0.2391 0.9745 0.7136
0.7361 0.4723 0.7084
0.0000 0.0000 0.5000
```

Calculated values (eV/atom) of formation energy (no corrections) for the records, taken in order: -1.72, -1.76, -1.28, -1.53, -1.48, -1.60.
Calculated values (μB/cell) of size of the total moment for the records, taken in order: 0.0, 0.0, 0.0, 0.0, 0.0, 0.0.